# 1
Compound: Cs2K8Pd
Source: Alexandria
Functional: PBE-GGA
Structure: relaxed

Calculated values
As for the symmetry: C2/m (12). The density of states at the Fermi level comes out at 0.74 states/eV/atom. The formation energy is 40 meV/atom.

Cell: 8.8300 8.8300 12.5060 Å, 105.53 105.53 61.46°
With the nearest neighbours (Å) after each atom.
Atoms (fractional coordinates):
Cs 0.1870 0.1870 0.4894  4 K 4.57-5.07, 2 Cs 4.88
Cs 0.8130 0.8130 0.5106  4 K 4.57-5.07, 2 Cs 4.88
K 0.0846 0.0846 0.8014  1 Pd 3.13
K 0.1045 0.6041 0.8857  1 Pd 3.17
K 0.3959 0.8955 0.1143  1 Pd 3.17
K 0.4485 0.4485 0.3018  7 K 4.68-5.00, 1 Cs 5.20
K 0.5515 0.5515 0.6982  7 K 4.68-5.00, 1 Cs 5.20
K 0.6041 0.1045 0.8857  1 Pd 3.17
K 0.8955 0.3959 0.1143  1 Pd 3.17
K 0.9154 0.9154 0.1986  1 Pd 3.13
Pd 0.0000 0.0000 0.0000  6 K 3.13-3.17

***

# 2
Compound: Cs2K4Pd
Source: Alexandria
Functional: PBE-GGA
Structure: relaxed

Calculated values
As for the symmetry: I4/mmm (139). The density of states at the Fermi level comes out at 0.73 states/eV/atom. The formation energy is 59 meV/atom.

Cell: 6.4367 6.4367 25.5043 Å, 90.00 90.00 90.00°
With the nearest neighbours (Å) after each atom.
Atoms (fractional coordinates):
Cs 0.0000 0.0000 0.1820  5 K 4.79-4.98
Cs 0.0000 0.0000 0.8180  5 K 4.79-4.98
Cs 0.5000 0.5000 0.3180  5 K 4.79-4.98
Cs 0.5000 0.5000 0.6820  5 K 4.79-4.98
K 0.0000 0.0000 0.3771  1 Pd 3.14
K 0.0000 0.0000 0.6229  1 Pd 3.14
K 0.0000 0.5000 0.0000  2 Pd 3.22
K 0.0000 0.5000 0.5000  2 Pd 3.22
K 0.5000 0.0000 0.0000  2 Pd 3.22
K 0.5000 0.0000 0.5000  2 Pd 3.22
K 0.5000 0.5000 0.1229  1 Pd 3.14
K 0.5000 0.5000 0.8771  1 Pd 3.14
Pd 0.0000 0.0000 0.5000  6 K 3.14-3.22
Pd 0.5000 0.5000 0.0000  6 K 3.14-3.22

***

# 3
Compound: CsK2Pd
Source: Alexandria
Functional: PBE-GGA
Structure: relaxed

Calculated values
As for the symmetry: Cm (8). The density of states at the Fermi level comes out at 0.45 states/eV/atom. The value obtained for the energy above the most stable polymorph in this dataset is 0 meV per atom. The formation energy is 115 meV/atom.

Cell: 9.3454 5.4095 9.5287 Å, 90.00 109.04 90.00°
With the nearest neighbours (Å) after each atom.
Atoms (fractional coordinates):
Cs 0.0000 0.0000 0.0000  1 Pd 3.82
Cs 0.5000 0.5000 0.0000  1 Pd 3.82
K 0.2240 0.0000 0.6662  3 Pd 3.22-3.23
K 0.4738 0.0000 0.4145  3 Pd 3.43-3.44
K 0.7240 0.5000 0.6662  3 Pd 3.22-3.23
K 0.9738 0.5000 0.4145  3 Pd 3.43-3.44
Pd 0.3604 0.5000 0.5754  6 K 3.22-3.44
Pd 0.8604 0.0000 0.5754  6 K 3.22-3.44

***

# 4
Compound: CsK3Pd
Source: Alexandria
Functional: PBE-GGA
Structure: relaxed

Calculated values
As for the symmetry: P2_1/m (11). The density of states at the Fermi level comes out at 0.76 states/eV/atom. The value obtained for the energy above the most stable polymorph in this dataset is 0 meV per atom. The formation energy is 25 meV/atom.

Cell: 10.5073 4.9611 13.1373 Å, 90.00 113.43 90.00°
With the nearest neighbours (Å) after each atom.
Atoms (fractional coordinates):
Cs 0.2284 0.2500 0.4319  2 Cs 4.96, 8 K 4.97-5.45
Cs 0.7716 0.7500 0.5681  2 Cs 4.96, 8 K 4.97-5.45
K 0.1032 0.2500 0.9083  1 Pd 3.35
K 0.3055 0.7500 0.7791  1 Pd 3.13
K 0.3663 0.7500 0.1496  1 Pd 3.14
K 0.6337 0.2500 0.8504  1 Pd 3.14
K 0.6945 0.2500 0.2209  1 Pd 3.13
K 0.8968 0.7500 0.0917  1 Pd 3.35
Pd 0.4484 0.2500 0.9876  2 Pd 2.67
Pd 0.5516 0.7500 0.0124  2 Pd 2.67

***

# 5
Compound: Cs3K8Pd
Source: Alexandria
Functional: PBE-GGA
Structure: relaxed

Calculated values
As for the symmetry: P6_3mc (186). The density of states at the Fermi level comes out at 0.64 states/eV/atom. The formation energy is 36 meV/atom.

Cell: 14.4800 14.4800 9.5375 Å, 90.00 90.00 120.00°
With the nearest neighbours (Å) after each atom.
Atoms (fractional coordinates):
Cs 0.1566 0.3133 0.0000  5 K 4.49-4.60
Cs 0.1566 0.8434 0.0000  5 K 4.49-4.60
Cs 0.3133 0.1566 0.5000  5 K 4.49-4.60
Cs 0.6867 0.8434 0.0000  5 K 4.49-4.60
Cs 0.8434 0.1566 0.5000  5 K 4.49-4.60
Cs 0.8434 0.6867 0.5000  5 K 4.49-4.60
K 0.0000 0.0000 0.2501  6 Cs 4.59-4.60, 2 K 4.77
K 0.0000 0.0000 0.7501  6 Cs 4.59-4.60, 2 K 4.77
K 0.0583 0.5291 0.2247  1 Pd 3.47
K 0.2321 0.4643 0.5094  1 Pd 3.42
K 0.2321 0.7679 0.5094  1 Pd 3.42
K 0.3333 0.6667 0.9264  1 Pd 3.26
K 0.4643 0.2321 0.0094  1 Pd 3.42
K 0.4709 0.5291 0.2247  1 Pd 3.47
K 0.4709 0.9417 0.2247  1 Pd 3.47
K 0.5291 0.0583 0.7247  1 Pd 3.47
K 0.5291 0.4709 0.7247  1 Pd 3.47
K 0.5357 0.7679 0.5094  1 Pd 3.42
K 0.6667 0.3333 0.4264  1 Pd 3.26
K 0.7679 0.2321 0.0094  1 Pd 3.42
K 0.7679 0.5357 0.0094  1 Pd 3.42
K 0.9417 0.4709 0.7247  1 Pd 3.47
Pd 0.3333 0.6667 0.2683  7 K 3.26-3.47
Pd 0.6667 0.3333 0.7683  7 K 3.26-3.47

***

# 6
Compound: Cs5K12Pd3
Source: Alexandria
Functional: PBE-GGA
Structure: relaxed

Calculated values
As for the symmetry: Ia-3d (230). The density of states at the Fermi level comes out at 0.74 states/eV/atom. The formation energy is 224 meV/atom.

Cell: 20.1376 20.1376 20.1376 Å, 109.47 109.47 109.47°
With the nearest neighbours (Å) after each atom.
Atoms (fractional coordinates):
Cs 0.0000 0.0000 0.0000  6 K 4.37
Cs 0.0000 0.0000 0.5000  6 K 4.37
Cs 0.0000 0.5000 0.0000  6 K 4.37
Cs 0.0000 0.5000 0.5000  6 K 4.37
Cs 0.1250 0.7500 0.8750  4 K 4.56
Cs 0.1250 0.8750 0.2500  4 K 4.56
Cs 0.2500 0.1250 0.8750  4 K 4.56
Cs 0.2500 0.6250 0.3750  4 K 4.56
Cs 0.3750 0.2500 0.6250  4 K 4.56
Cs 0.3750 0.6250 0.7500  4 K 4.56
Cs 0.5000 0.0000 0.0000  6 K 4.37
Cs 0.5000 0.0000 0.5000  6 K 4.37
Cs 0.5000 0.5000 0.0000  6 K 4.37
Cs 0.5000 0.5000 0.5000  6 K 4.37
Cs 0.6250 0.3750 0.2500  4 K 4.56
Cs 0.6250 0.7500 0.3750  4 K 4.56
Cs 0.7500 0.3750 0.6250  4 K 4.56
Cs 0.7500 0.8750 0.1250  4 K 4.56
Cs 0.8750 0.1250 0.7500  4 K 4.56
Cs 0.8750 0.2500 0.1250  4 K 4.56
K 0.0249 0.6337 0.3694  1 Pd 3.07
K 0.0249 0.8912 0.6555  1 Pd 3.07
K 0.1088 0.2643 0.1337  1 Pd 3.07
K 0.1088 0.3445 0.9751  1 Pd 3.07
K 0.1306 0.7643 0.6555  1 Pd 3.07
K 0.1306 0.8663 0.4751  1 Pd 3.07
K 0.1337 0.1088 0.2643  1 Pd 3.07
K 0.1337 0.5249 0.8694  1 Pd 3.07
K 0.1555 0.2643 0.6306  1 Pd 3.07
K 0.1555 0.3912 0.5249  1 Pd 3.07
K 0.2357 0.3445 0.8694  1 Pd 3.07
K 0.2357 0.3912 0.3663  1 Pd 3.07
K 0.2643 0.1337 0.1088  1 Pd 3.07
K 0.2643 0.6306 0.1555  1 Pd 3.07
K 0.3445 0.8694 0.2357  1 Pd 3.07
K 0.3445 0.9751 0.1088  1 Pd 3.07
K 0.3663 0.2357 0.3912  1 Pd 3.07
K 0.3663 0.6306 0.9751  1 Pd 3.07
K 0.3694 0.0249 0.6337  1 Pd 3.07
K 0.3694 0.8445 0.7357  1 Pd 3.07
K 0.3912 0.3663 0.2357  1 Pd 3.07
K 0.3912 0.5249 0.1555  1 Pd 3.07
K 0.4751 0.1306 0.8663  1 Pd 3.07
K 0.4751 0.8445 0.6088  1 Pd 3.07
K 0.5249 0.1555 0.3912  1 Pd 3.07
K 0.5249 0.8694 0.1337  1 Pd 3.07
K 0.6088 0.4751 0.8445  1 Pd 3.07
K 0.6088 0.6337 0.7643  1 Pd 3.07
K 0.6306 0.1555 0.2643  1 Pd 3.07
K 0.6306 0.9751 0.3663  1 Pd 3.07
K 0.6337 0.3694 0.0249  1 Pd 3.07
K 0.6337 0.7643 0.6088  1 Pd 3.07
K 0.6555 0.0249 0.8912  1 Pd 3.07
K 0.6555 0.1306 0.7643  1 Pd 3.07
K 0.7357 0.3694 0.8445  1 Pd 3.07
K 0.7357 0.8663 0.8912  1 Pd 3.07
K 0.7643 0.6088 0.6337  1 Pd 3.07
K 0.7643 0.6555 0.1306  1 Pd 3.07
K 0.8445 0.6088 0.4751  1 Pd 3.07
K 0.8445 0.7357 0.3694  1 Pd 3.07
K 0.8663 0.4751 0.1306  1 Pd 3.07
K 0.8663 0.8912 0.7357  1 Pd 3.07
K 0.8694 0.1337 0.5249  1 Pd 3.07
K 0.8694 0.2357 0.3445  1 Pd 3.07
K 0.8912 0.6555 0.0249  1 Pd 3.07
K 0.8912 0.7357 0.8663  1 Pd 3.07
K 0.9751 0.1088 0.3445  1 Pd 3.07
K 0.9751 0.3663 0.6306  1 Pd 3.07
Pd 0.1250 0.2500 0.3750  4 K 3.07
Pd 0.1250 0.3750 0.7500  4 K 3.07
Pd 0.2500 0.3750 0.1250  4 K 3.07
Pd 0.2500 0.8750 0.6250  4 K 3.07
Pd 0.3750 0.1250 0.2500  4 K 3.07
Pd 0.3750 0.7500 0.1250  4 K 3.07
Pd 0.6250 0.2500 0.8750  4 K 3.07
Pd 0.6250 0.8750 0.7500  4 K 3.07
Pd 0.7500 0.1250 0.3750  4 K 3.07
Pd 0.7500 0.6250 0.8750  4 K 3.07
Pd 0.8750 0.6250 0.2500  4 K 3.07
Pd 0.8750 0.7500 0.6250  4 K 3.07

***

# 7
Compound: Cs6KPd
Source: Alexandria
Functional: PBE-GGA
Structure: relaxed

Calculated values
As for the symmetry: P-1 (2). The density of states at the Fermi level comes out at 0.84 states/eV/atom. The formation energy is 48 meV/atom.

Cell: 9.8765 9.9942 10.2694 Å, 86.82 61.43 60.66°
With the nearest neighbours (Å) after each atom.
Atoms (fractional coordinates):
Cs 0.1948 0.3674 0.2346  1 Pd 3.40
Cs 0.2086 0.8777 0.2195  1 Pd 3.43
Cs 0.3015 0.1102 0.7824  1 Pd 3.44
Cs 0.6985 0.8898 0.2176  1 Pd 3.44
Cs 0.7914 0.1223 0.7805  1 Pd 3.43
Cs 0.8052 0.6326 0.7654  1 Pd 3.40
K 0.5000 0.5000 0.5000  8 Cs 5.19-5.52
Pd 0.5000 0.0000 0.0000  6 Cs 3.40-3.44

***

# 8
Compound: CsK3Pd
Source: Alexandria
Functional: PBE-GGA
Structure: relaxed

Calculated values
As for the symmetry: Pm-3m (221). The density of states at the Fermi level comes out at 0.33 states/eV/atom. The value obtained for the energy above the most stable polymorph in this dataset is 50 meV per atom. The formation energy is 75 meV/atom.

Cell: 6.5919 6.5919 6.5919 Å, 90.00 90.00 90.00°
With the nearest neighbours (Å) after each atom.
Atoms (fractional coordinates):
Cs 0.0000 0.0000 0.0000  12 K 4.66
K 0.0000 0.5000 0.5000  2 Pd 3.30
K 0.5000 0.0000 0.5000  2 Pd 3.30
K 0.5000 0.5000 0.0000  2 Pd 3.30
Pd 0.5000 0.5000 0.5000  6 K 3.30

***

# 9
Compound: Cs5K4Pd
Source: Alexandria
Functional: PBE-GGA
Structure: relaxed

Calculated values
As for the symmetry: I4/mmm (139). The density of states at the Fermi level comes out at 0.79 states/eV/atom. The formation energy is 25 meV/atom.

Cell: 11.2691 11.2691 11.2691 Å, 95.64 95.64 143.47°
With the nearest neighbours (Å) after each atom.
Atoms (fractional coordinates):
Cs 0.0000 0.0000 0.0000  2 Pd 3.53
Cs 0.3397 0.3397 0.6795  1 Pd 3.43
Cs 0.3397 0.6603 0.0000  1 Pd 3.43
Cs 0.6603 0.3397 0.0000  1 Pd 3.43
Cs 0.6603 0.6603 0.3205  1 Pd 3.43
K 0.0000 0.3520 0.3520  5 K 4.48-4.74
K 0.0000 0.6480 0.6480  5 K 4.48-4.74
K 0.3520 0.0000 0.3520  5 K 4.48-4.74
K 0.6480 0.0000 0.6480  5 K 4.48-4.74
Pd 0.5000 0.5000 0.0000  6 Cs 3.43-3.53

***

# 10
Compound: CsK3Pd
Source: Alexandria
Functional: PBE-GGA
Structure: relaxed

Calculated values
As for the symmetry: Pm-3m (221). The density of states at the Fermi level comes out at 0.46 states/eV/atom. The value obtained for the energy above the most stable polymorph in this dataset is 837 meV per atom. The formation energy is 862 meV/atom.

Cell: 7.3516 7.3516 7.3516 Å, 90.00 90.00 90.00°
With the nearest neighbours (Å) after each atom.
Atoms (fractional coordinates):
Cs 0.0000 0.0000 0.0000  6 K 3.68
K 0.0000 0.0000 0.5000  2 Cs 3.68
K 0.0000 0.5000 0.0000  2 Cs 3.68
K 0.5000 0.0000 0.0000  2 Cs 3.68
Pd 0.5000 0.5000 0.5000  12 K 5.20

***

# 11
Compound: Cs3K7Pd
Source: Alexandria
Functional: PBE-GGA
Structure: relaxed

Calculated values
As for the symmetry: Cm (8). The density of states at the Fermi level comes out at 0.71 states/eV/atom. The formation energy is 46 meV/atom.

Cell: 8.4104 8.4104 12.9242 Å, 104.04 104.04 80.56°
With the nearest neighbours (Å) after each atom.
Atoms (fractional coordinates):
Cs 0.0000 0.0000 0.0000  6 K 4.77-5.17, 4 Cs 5.08-5.26
Cs 0.4123 0.8984 0.7555  6 K 4.73-5.24, 3 Cs 5.08-5.29
Cs 0.8984 0.4123 0.7555  6 K 4.73-5.24, 3 Cs 5.08-5.29
K 0.3087 0.8912 0.3780  1 Pd 3.36
K 0.4211 0.4211 0.4178  1 Pd 3.36
K 0.4345 0.4345 0.0645  1 Pd 3.22
K 0.5704 0.9356 0.1716  1 Pd 3.38
K 0.8374 0.8374 0.5103  1 Pd 3.21
K 0.8912 0.3087 0.3780  1 Pd 3.36
K 0.9356 0.5704 0.1716  1 Pd 3.38
Pd 0.6201 0.6201 0.3005  7 K 3.21-3.38

***

# 12
Compound: Cs12K5Pd3
Source: Alexandria
Functional: PBE-GGA
Structure: relaxed

Calculated values
As for the symmetry: Ia-3d (230). The density of states at the Fermi level comes out at 0.42 states/eV/atom. The formation energy is 219 meV/atom.

Cell: 20.9174 20.9174 20.9174 Å, 109.47 109.47 109.47°
With the nearest neighbours (Å) after each atom.
Atoms (fractional coordinates):
Cs 0.0359 0.6296 0.3700  1 Pd 3.41
Cs 0.0359 0.9063 0.6659  1 Pd 3.41
Cs 0.0937 0.2597 0.1296  1 Pd 3.41
Cs 0.0937 0.3341 0.9641  1 Pd 3.41
Cs 0.1296 0.0937 0.2597  1 Pd 3.41
Cs 0.1296 0.5359 0.8700  1 Pd 3.41
Cs 0.1300 0.7597 0.6659  1 Pd 3.41
Cs 0.1300 0.8704 0.4641  1 Pd 3.41
Cs 0.1659 0.2597 0.6300  1 Pd 3.41
Cs 0.1659 0.4063 0.5359  1 Pd 3.41
Cs 0.2403 0.3341 0.8700  1 Pd 3.41
Cs 0.2403 0.4063 0.3704  1 Pd 3.41
Cs 0.2597 0.1296 0.0937  1 Pd 3.41
Cs 0.2597 0.6300 0.1659  1 Pd 3.41
Cs 0.3341 0.8700 0.2403  1 Pd 3.41
Cs 0.3341 0.9641 0.0937  1 Pd 3.41
Cs 0.3700 0.0359 0.6296  1 Pd 3.41
Cs 0.3704 0.2403 0.4063  1 Pd 3.41
Cs 0.3704 0.6300 0.9641  1 Pd 3.41
Cs 0.3700 0.8341 0.7403  1 Pd 3.41
Cs 0.4063 0.3704 0.2403  1 Pd 3.41
Cs 0.4063 0.5359 0.1659  1 Pd 3.41
Cs 0.4641 0.1300 0.8704  1 Pd 3.41
Cs 0.4641 0.8341 0.5937  1 Pd 3.41
Cs 0.5359 0.1659 0.4063  1 Pd 3.41
Cs 0.5359 0.8700 0.1296  1 Pd 3.41
Cs 0.5937 0.4641 0.8341  1 Pd 3.41
Cs 0.5937 0.6296 0.7597  1 Pd 3.41
Cs 0.6300 0.1659 0.2597  1 Pd 3.41
Cs 0.6296 0.3700 0.0359  1 Pd 3.41
Cs 0.6296 0.7597 0.5937  1 Pd 3.41
Cs 0.6300 0.9641 0.3704  1 Pd 3.41
Cs 0.6659 0.0359 0.9063  1 Pd 3.41
Cs 0.6659 0.1300 0.7597  1 Pd 3.41
Cs 0.7403 0.3700 0.8341  1 Pd 3.41
Cs 0.7403 0.8704 0.9063  1 Pd 3.41
Cs 0.7597 0.5937 0.6296  1 Pd 3.41
Cs 0.7597 0.6659 0.1300  1 Pd 3.41
Cs 0.8341 0.5937 0.4641  1 Pd 3.41
Cs 0.8341 0.7403 0.3700  1 Pd 3.41
Cs 0.8700 0.1296 0.5359  1 Pd 3.41
Cs 0.8700 0.2403 0.3341  1 Pd 3.41
Cs 0.8704 0.4641 0.1300  1 Pd 3.41
Cs 0.8704 0.9063 0.7403  1 Pd 3.41
Cs 0.9063 0.6659 0.0359  1 Pd 3.41
Cs 0.9063 0.7403 0.8704  1 Pd 3.41
Cs 0.9641 0.0937 0.3341  1 Pd 3.41
Cs 0.9641 0.3704 0.6300  1 Pd 3.41
K 0.0000 0.0000 0.0000  6 Cs 4.50
K 0.0000 0.0000 0.5000  6 Cs 4.50
K 0.0000 0.5000 0.0000  6 Cs 4.50
K 0.0000 0.5000 0.5000  6 Cs 4.50
K 0.1250 0.7500 0.8750  4 Cs 4.48
K 0.1250 0.8750 0.2500  4 Cs 4.48
K 0.2500 0.1250 0.8750  4 Cs 4.48
K 0.2500 0.6250 0.3750  4 Cs 4.48
K 0.3750 0.2500 0.6250  4 Cs 4.48
K 0.3750 0.6250 0.7500  4 Cs 4.48
K 0.5000 0.0000 0.0000  6 Cs 4.50
K 0.5000 0.0000 0.5000  6 Cs 4.50
K 0.5000 0.5000 0.0000  6 Cs 4.50
K 0.5000 0.5000 0.5000  6 Cs 4.50
K 0.6250 0.3750 0.2500  4 Cs 4.48
K 0.6250 0.7500 0.3750  4 Cs 4.48
K 0.7500 0.3750 0.6250  4 Cs 4.48
K 0.7500 0.8750 0.1250  4 Cs 4.48
K 0.8750 0.1250 0.7500  4 Cs 4.48
K 0.8750 0.2500 0.1250  4 Cs 4.48
Pd 0.1250 0.2500 0.3750  4 Cs 3.41
Pd 0.1250 0.3750 0.7500  4 Cs 3.41
Pd 0.2500 0.3750 0.1250  4 Cs 3.41
Pd 0.2500 0.8750 0.6250  4 Cs 3.41
Pd 0.3750 0.1250 0.2500  4 Cs 3.41
Pd 0.3750 0.7500 0.1250  4 Cs 3.41
Pd 0.6250 0.2500 0.8750  4 Cs 3.41
Pd 0.6250 0.8750 0.7500  4 Cs 3.41
Pd 0.7500 0.1250 0.3750  4 Cs 3.41
Pd 0.7500 0.6250 0.8750  4 Cs 3.41
Pd 0.8750 0.6250 0.2500  4 Cs 3.41
Pd 0.8750 0.7500 0.6250  4 Cs 3.41